Density functional theory data (GGA-PBE) for a relaxed SbOs2Cl crystal.

Lattice parameters (Å, degrees): 3.2119 3.2119 6.7430 90.00 90.00 90.00
Last column: nearest neighbours and their distance in Å.
Element x y z (fractional)
Sb  0.0000  0.0000  0.0000  8 Os 2.70
Os  0.5000  0.5000  0.2178  4 Sb 2.70, 1 Os 2.94, 4 Cl 2.96
Os  0.5000  0.5000  0.7822  4 Sb 2.70, 1 Os 2.94, 4 Cl 2.96
Cl  0.0000  0.0000  0.5000  8 Os 2.96, 4 Cl 3.21

Symmetry   P4/mmm
Relative energy among the computed polymorphs   812 meV/atom
M_tot   0.00 Bohr magnetons per cell